# 1
Entry from Alexandria via LeMat-Bulk: CuAg5Pd4 after structural relaxation (GGA-PBE).

Cell and atoms, written as CIF:
```
data_CuAg5Pd4
_cell_length_a 14.193
_cell_length_b 4.149
_cell_length_c 6.822
_cell_angle_alpha 90.00
_cell_angle_beta 118.42
_cell_angle_gamma 90.00
_space_group_name_H-M_alt 'C 1 2/m 1'
_space_group_IT_number 12
_space_group_name_Hall '-C 2y'
loop_
_atom_site_label
_atom_site_type_symbol
_atom_site_fract_x
_atom_site_fract_y
_atom_site_fract_z
Cu1 Cu 0.000 0.000 0.000
Ag1 Ag 0.000 0.000 0.500
Ag2 Ag 0.158 0.500 0.691
Ag3 Ag 0.187 0.500 0.127
Pd1 Pd 0.018 0.500 0.232
Pd2 Pd 0.172 0.000 0.404
```

Values from the calculation:
ΔE_f = 8 kJ per mole of atoms
Fermi-level density of states = 3.9 states/eV/f.u.

***

# 2
Entry from Alexandria via LeMat-Bulk: Cu2Ag3Pd2 after structural relaxation (GGA-PBE).

Cell and atoms, written as CIF:
```
data_Cu2Ag3Pd2
_cell_length_a 4.130
_cell_length_b 18.732
_cell_length_c 2.824
_cell_angle_alpha 90.00
_cell_angle_beta 90.00
_cell_angle_gamma 90.00
_space_group_name_H-M_alt 'C m m m'
_space_group_IT_number 65
_space_group_name_Hall '-C 2 2'
loop_
_atom_site_label
_atom_site_type_symbol
_atom_site_fract_x
_atom_site_fract_y
_atom_site_fract_z
Cu1 Cu 0.000 0.216 0.000
Ag1 Ag 0.000 0.078 0.000
Ag2 Ag 0.000 0.500 0.500
Pd1 Pd 0.000 0.340 0.500
```

Values from the calculation:
ΔE_f = -2 kJ per mole of atoms
Fermi-level density of states = 2.7 states/eV/f.u.

***

# 3
Entry from Alexandria via LeMat-Bulk: Cu3AgPd after structural relaxation (GGA-PBE).

Cell and atoms, written as CIF:
```
data_Cu3AgPd
_cell_length_a 4.657
_cell_length_b 4.657
_cell_length_c 4.657
_cell_angle_alpha 90.00
_cell_angle_beta 90.00
_cell_angle_gamma 90.00
_space_group_name_H-M_alt 'P m -3 m'
_space_group_IT_number 221
_space_group_name_Hall '-P 4 2 3'
loop_
_atom_site_label
_atom_site_type_symbol
_atom_site_fract_x
_atom_site_fract_y
_atom_site_fract_z
Cu1 Cu 0.000 0.000 0.500
Ag1 Ag 0.500 0.500 0.500
Pd1 Pd 0.000 0.000 0.000
```

Values from the calculation:
ΔE_f = 82 kJ per mole of atoms
Fermi-level density of states = 1.8 states/eV/f.u.

***

# 4
Entry from Alexandria via LeMat-Bulk: Cu8AgPd6 after structural relaxation (GGA-PBE).

Cell and atoms, written as CIF:
```
data_Cu8AgPd6
_cell_length_a 9.8223
_cell_length_b 9.8223
_cell_length_c 2.7055
_cell_angle_alpha 90.00
_cell_angle_beta 90.00
_cell_angle_gamma 120.00
_space_group_name_H-M_alt 'P -3'
_space_group_IT_number 147
_space_group_name_Hall '-P 3'
loop_
_atom_site_label
_atom_site_type_symbol
_atom_site_fract_x
_atom_site_fract_y
_atom_site_fract_z
Cu1 Cu 0.0723 0.7916 0.3039
Cu2 Cu 0.3333 0.6667 0.7260
Ag1 Ag 0.0000 0.0000 0.0000
Pd1 Pd 0.0983 0.4654 0.2278
```

Values from the calculation:
ΔE_f = 17 kJ per mole of atoms
Fermi-level density of states = 8.7 states/eV/f.u.

***

# 5
Entry from Alexandria via LeMat-Bulk: Cu3AgPd4 after structural relaxation (GGA-PBE).

Cell and atoms, written as CIF:
```
data_Cu3AgPd4
_cell_length_a 8.925
_cell_length_b 5.649
_cell_length_c 4.618
_cell_angle_alpha 90.00
_cell_angle_beta 90.00
_cell_angle_gamma 90.00
_space_group_name_H-M_alt 'P m m a'
_space_group_IT_number 51
_space_group_name_Hall '-P 2a 2a'
loop_
_atom_site_label
_atom_site_type_symbol
_atom_site_fract_x
_atom_site_fract_y
_atom_site_fract_z
Cu1 Cu 0.000 0.000 0.000
Cu2 Cu 0.250 0.000 0.359
Cu3 Cu 0.250 0.500 0.371
Ag1 Ag 0.000 0.500 0.000
Pd1 Pd 0.000 0.242 0.500
Pd2 Pd 0.250 0.242 0.866
```

Values from the calculation:
ΔE_f = -5 kJ per mole of atoms
Fermi-level density of states = 6.1 states/eV/f.u.

***

# 6
Entry from Alexandria via LeMat-Bulk: CuAg2Pd2 after structural relaxation (GGA-PBE).

Cell and atoms, written as CIF:
```
data_CuAg2Pd2
_cell_length_a 6.668
_cell_length_b 7.689
_cell_length_c 7.038
_cell_angle_alpha 90.00
_cell_angle_beta 116.45
_cell_angle_gamma 90.00
_space_group_name_H-M_alt 'C 1 2/m 1'
_space_group_IT_number 12
_space_group_name_Hall '-C 2y'
loop_
_atom_site_label
_atom_site_type_symbol
_atom_site_fract_x
_atom_site_fract_y
_atom_site_fract_z
Cu1 Cu 0.000 0.157 0.000
Ag1 Ag 0.067 0.318 0.715
Pd1 Pd 0.164 0.000 0.435
Pd2 Pd 0.220 0.500 0.126
```

Values from the calculation:
ΔE_f = 4 kJ per mole of atoms
Fermi-level density of states = 1.8 states/eV/f.u.

***

# 7
Entry from Alexandria via LeMat-Bulk: CuAg3Pd after structural relaxation (GGA-PBE).

Cell and atoms, written as CIF:
```
data_CuAg3Pd
_cell_length_a 7.087
_cell_length_b 5.549
_cell_length_c 8.764
_cell_angle_alpha 90.00
_cell_angle_beta 107.56
_cell_angle_gamma 90.00
_space_group_name_H-M_alt 'P 1 2/c 1'
_space_group_IT_number 13
_space_group_name_Hall '-P 2yc'
loop_
_atom_site_label
_atom_site_type_symbol
_atom_site_fract_x
_atom_site_fract_y
_atom_site_fract_z
Cu1 Cu 0.100 0.215 0.391
Ag1 Ag 0.099 0.269 0.909
Ag2 Ag 0.286 0.496 0.201
Ag3 Ag 0.489 0.246 0.498
Pd1 Pd 0.280 0.004 0.696
```

Values from the calculation:
ΔE_f = 4 kJ per mole of atoms
Fermi-level density of states = 1.2 states/eV/f.u.

***

# 8
Entry from Alexandria via LeMat-Bulk: Cu2Ag3Pd3 after structural relaxation (GGA-PBE).

Cell and atoms, written as CIF:
```
data_Cu2Ag3Pd3
_cell_length_a 4.011
_cell_length_b 4.082
_cell_length_c 15.140
_cell_angle_alpha 90.00
_cell_angle_beta 90.00
_cell_angle_gamma 90.00
_space_group_name_H-M_alt 'I m m m'
_space_group_IT_number 71
_space_group_name_Hall '-I 2 2'
loop_
_atom_site_label
_atom_site_type_symbol
_atom_site_fract_x
_atom_site_fract_y
_atom_site_fract_z
Cu1 Cu 0.000 0.000 0.250
Ag1 Ag 0.000 0.000 0.000
Ag2 Ag 0.000 0.500 0.133
Pd1 Pd 0.000 0.000 0.500
Pd2 Pd 0.000 0.500 0.363
```

Values from the calculation:
ΔE_f = -4 kJ per mole of atoms
Fermi-level density of states = 4.1 states/eV/f.u.

***

# 9
Entry from Alexandria via LeMat-Bulk: Cu3AgPd6 after structural relaxation (GGA-PBE).

Cell and atoms, written as CIF:
```
data_Cu3AgPd6
_cell_length_a 8.524
_cell_length_b 3.946
_cell_length_c 8.745
_cell_angle_alpha 90.00
_cell_angle_beta 91.82
_cell_angle_gamma 90.00
_space_group_name_H-M_alt 'P 1 21/m 1'
_space_group_IT_number 11
_space_group_name_Hall '-P 2yb'
loop_
_atom_site_label
_atom_site_type_symbol
_atom_site_fract_x
_atom_site_fract_y
_atom_site_fract_z
Cu1 Cu 0.051 0.250 0.397
Cu2 Cu 0.152 0.750 0.187
Cu3 Cu 0.247 0.250 0.988
Ag1 Ag 0.446 0.250 0.599
Pd1 Pd 0.040 0.750 0.899
Pd2 Pd 0.131 0.250 0.695
Pd3 Pd 0.230 0.750 0.486
Pd4 Pd 0.334 0.250 0.284
Pd5 Pd 0.342 0.750 0.798
Pd6 Pd 0.446 0.750 0.094
```

Values from the calculation:
ΔE_f = -6 kJ per mole of atoms
Fermi-level density of states = 10.6 states/eV/f.u.

***

# 10
Entry from Alexandria via LeMat-Bulk: Cu2AgPd9 after structural relaxation (GGA-PBE).

Cell and atoms, written as CIF:
```
data_Cu2AgPd9
_cell_length_a 3.931
_cell_length_b 3.931
_cell_length_c 11.741
_cell_angle_alpha 90.00
_cell_angle_beta 90.00
_cell_angle_gamma 90.00
_space_group_name_H-M_alt 'P 4/m m m'
_space_group_IT_number 123
_space_group_name_Hall '-P 4 2'
loop_
_atom_site_label
_atom_site_type_symbol
_atom_site_fract_x
_atom_site_fract_y
_atom_site_fract_z
Cu1 Cu 0.000 0.000 0.163
Ag1 Ag 0.000 0.000 0.500
Pd1 Pd 0.000 0.500 0.000
Pd2 Pd 0.000 0.500 0.325
Pd3 Pd 0.500 0.500 0.162
Pd4 Pd 0.500 0.500 0.500
```

Values from the calculation:
ΔE_f = -4 kJ per mole of atoms
Fermi-level density of states = 11.8 states/eV/f.u.

***

# 11
Entry from Alexandria via LeMat-Bulk: Cu2Ag5Pd4 after structural relaxation (GGA-PBE).

Cell and atoms, written as CIF:
```
data_Cu2Ag5Pd4
_cell_length_a 2.770
_cell_length_b 7.551
_cell_length_c 18.486
_cell_angle_alpha 90.00
_cell_angle_beta 90.00
_cell_angle_gamma 90.00
_space_group_name_H-M_alt 'I m m m'
_space_group_IT_number 71
_space_group_name_Hall '-I 2 2'
loop_
_atom_site_label
_atom_site_type_symbol
_atom_site_fract_x
_atom_site_fract_y
_atom_site_fract_z
Cu1 Cu 0.000 0.000 0.234
Ag1 Ag 0.000 0.193 0.351
Ag2 Ag 0.000 0.500 0.000
Pd1 Pd 0.000 0.000 0.101
Pd2 Pd 0.000 0.311 0.500
```

Values from the calculation:
ΔE_f = 19 kJ per mole of atoms
Fermi-level density of states = 4.8 states/eV/f.u.

***

# 12
Entry from Alexandria via LeMat-Bulk: CuAgPd14 after structural relaxation (GGA-PBE).

Cell and atoms, written as CIF:
```
data_CuAgPd14
_cell_length_a 9.206
_cell_length_b 5.544
_cell_length_c 9.677
_cell_angle_alpha 90.00
_cell_angle_beta 90.00
_cell_angle_gamma 90.00
_space_group_name_H-M_alt 'A m m 2'
_space_group_IT_number 38
_space_group_name_Hall 'A 2 -2'
loop_
_atom_site_label
_atom_site_type_symbol
_atom_site_fract_x
_atom_site_fract_y
_atom_site_fract_z
Cu1 Cu 0.000 0.000 0.000
Ag1 Ag 0.000 0.000 0.501
Pd1 Pd 0.000 0.249 0.751
Pd2 Pd 0.246 0.000 0.162
Pd3 Pd 0.248 0.248 0.914
Pd4 Pd 0.251 0.000 0.664
Pd5 Pd 0.500 0.000 0.328
Pd6 Pd 0.500 0.000 0.829
Pd7 Pd 0.500 0.249 0.078
```

Values from the calculation:
ΔE_f = 0 kJ per mole of atoms
Fermi-level density of states = 34.6 states/eV/f.u.

***

# 13
Entry from Alexandria via LeMat-Bulk: Cu3AgPd5 after structural relaxation (GGA-PBE).

Cell and atoms, written as CIF:
```
data_Cu3AgPd5
_cell_length_a 8.398
_cell_length_b 7.103
_cell_length_c 10.182
_cell_angle_alpha 90.00
_cell_angle_beta 97.59
_cell_angle_gamma 90.00
_space_group_name_H-M_alt 'C 1 2/m 1'
_space_group_IT_number 12
_space_group_name_Hall '-C 2y'
loop_
_atom_site_label
_atom_site_type_symbol
_atom_site_fract_x
_atom_site_fract_y
_atom_site_fract_z
Cu1 Cu 0.000 0.000 0.000
Cu2 Cu 0.000 0.000 0.500
Cu3 Cu 0.195 0.500 0.023
Cu4 Cu 0.249 0.500 0.627
Ag1 Ag 0.042 0.000 0.762
Pd1 Pd 0.000 0.321 0.500
Pd2 Pd 0.023 0.500 0.800
Pd3 Pd 0.208 0.213 0.166
Pd4 Pd 0.221 0.500 0.378
```

Values from the calculation:
ΔE_f = 31 kJ per mole of atoms
Fermi-level density of states = 8.4 states/eV/f.u.

***

# 14
Entry from Alexandria via LeMat-Bulk: Cu3AgPd12 after structural relaxation (GGA-PBE).

Cell and atoms, written as CIF:
```
data_Cu3AgPd12
_cell_length_a 3.921
_cell_length_b 3.921
_cell_length_c 15.612
_cell_angle_alpha 90.00
_cell_angle_beta 90.00
_cell_angle_gamma 90.00
_space_group_name_H-M_alt 'P 4/m m m'
_space_group_IT_number 123
_space_group_name_Hall '-P 4 2'
loop_
_atom_site_label
_atom_site_type_symbol
_atom_site_fract_x
_atom_site_fract_y
_atom_site_fract_z
Cu1 Cu 0.000 0.000 0.000
Cu2 Cu 0.000 0.000 0.246
Ag1 Ag 0.000 0.000 0.500
Pd1 Pd 0.000 0.500 0.123
Pd2 Pd 0.000 0.500 0.368
Pd3 Pd 0.500 0.500 0.000
Pd4 Pd 0.500 0.500 0.245
Pd5 Pd 0.500 0.500 0.500
```

Values from the calculation:
ΔE_f = -5 kJ per mole of atoms
Fermi-level density of states = 17.0 states/eV/f.u.

***

# 15
Entry from Alexandria via LeMat-Bulk: Cu8AgPd6 after structural relaxation (GGA-PBE).

Cell and atoms, written as CIF:
```
data_Cu8AgPd6
_cell_length_a 6.241
_cell_length_b 6.294
_cell_length_c 6.317
_cell_angle_alpha 71.01
_cell_angle_beta 71.22
_cell_angle_gamma 71.29
_space_group_name_H-M_alt 'P -1'
_space_group_IT_number 2
_space_group_name_Hall '-P 1'
loop_
_atom_site_label
_atom_site_type_symbol
_atom_site_fract_x
_atom_site_fract_y
_atom_site_fract_z
Cu1 Cu 0.054 0.354 0.401
Cu2 Cu 0.147 0.099 0.944
Cu3 Cu 0.241 0.745 0.243
Cu4 Cu 0.405 0.554 0.851
Ag1 Ag 0.000 0.500 0.000
Pd1 Pd 0.171 0.923 0.623
Pd2 Pd 0.378 0.328 0.578
Pd3 Pd 0.421 0.122 0.171
```

Values from the calculation:
ΔE_f = 7 kJ per mole of atoms
Fermi-level density of states = 4.6 states/eV/f.u.

***

# 16
Entry from Alexandria via LeMat-Bulk: Cu6AgPd3 after structural relaxation (GGA-PBE).

Cell and atoms, written as CIF:
```
data_Cu6AgPd3
_cell_length_a 9.238
_cell_length_b 4.892
_cell_length_c 6.831
_cell_angle_alpha 90.00
_cell_angle_beta 108.97
_cell_angle_gamma 90.00
_space_group_name_H-M_alt 'C 1 2/m 1'
_space_group_IT_number 12
_space_group_name_Hall '-C 2y'
loop_
_atom_site_label
_atom_site_type_symbol
_atom_site_fract_x
_atom_site_fract_y
_atom_site_fract_z
Cu1 Cu 0.166 0.245 0.314
Cu2 Cu 0.177 0.500 0.935
Ag1 Ag 0.000 0.500 0.500
Pd1 Pd 0.000 0.000 0.000
Pd2 Pd 0.102 0.000 0.689
```

Values from the calculation:
ΔE_f = 11 kJ per mole of atoms
Fermi-level density of states = 2.9 states/eV/f.u.

***

# 17
Entry from Alexandria via LeMat-Bulk: CuAgPd2 after structural relaxation (GGA-PBE).

Cell and atoms, written as CIF:
```
data_CuAgPd2
_cell_length_a 2.710
_cell_length_b 4.644
_cell_length_c 10.534
_cell_angle_alpha 90.00
_cell_angle_beta 90.00
_cell_angle_gamma 90.00
_space_group_name_H-M_alt 'I m m m'
_space_group_IT_number 71
_space_group_name_Hall '-I 2 2'
loop_
_atom_site_label
_atom_site_type_symbol
_atom_site_fract_x
_atom_site_fract_y
_atom_site_fract_z
Cu1 Cu 0.000 0.000 0.000
Ag1 Ag 0.000 0.000 0.500
Pd1 Pd 0.000 0.000 0.237
```

Values from the calculation:
ΔE_f = 24 kJ per mole of atoms
Fermi-level density of states = 2.8 states/eV/f.u.

***

# 18
Entry from Alexandria via LeMat-Bulk: CuAg3Pd after structural relaxation (GGA-PBE).

Cell and atoms, written as CIF:
```
data_CuAg3Pd
_cell_length_a 4.723
_cell_length_b 4.723
_cell_length_c 4.723
_cell_angle_alpha 90.00
_cell_angle_beta 90.00
_cell_angle_gamma 90.00
_space_group_name_H-M_alt 'P m -3 m'
_space_group_IT_number 221
_space_group_name_Hall '-P 4 2 3'
loop_
_atom_site_label
_atom_site_type_symbol
_atom_site_fract_x
_atom_site_fract_y
_atom_site_fract_z
Cu1 Cu 0.000 0.000 0.000
Ag1 Ag 0.000 0.000 0.500
Pd1 Pd 0.500 0.500 0.500
```

Values from the calculation:
ΔE_f = 69 kJ per mole of atoms
Fermi-level density of states = 1.7 states/eV/f.u.

***

# 19
Entry from Alexandria via LeMat-Bulk: Cu3AgPd2 after structural relaxation (GGA-PBE).

Cell and atoms, written as CIF:
```
data_Cu3AgPd2
_cell_length_a 2.885
_cell_length_b 2.885
_cell_length_c 10.207
_cell_angle_alpha 90.00
_cell_angle_beta 90.00
_cell_angle_gamma 90.00
_space_group_name_H-M_alt 'P 4/m m m'
_space_group_IT_number 123
_space_group_name_Hall '-P 4 2'
loop_
_atom_site_label
_atom_site_type_symbol
_atom_site_fract_x
_atom_site_fract_y
_atom_site_fract_z
Cu1 Cu 0.000 0.000 0.000
Cu2 Cu 0.000 0.000 0.324
Ag1 Ag 0.500 0.500 0.500
Pd1 Pd 0.500 0.500 0.163
```

Values from the calculation:
ΔE_f = -5 kJ per mole of atoms
Fermi-level density of states = 2.7 states/eV/f.u.

***

# 20
Entry from Alexandria via LeMat-Bulk: CuAg6Pd2 after structural relaxation (GGA-PBE).

Cell and atoms, written as CIF:
```
data_CuAg6Pd2
_cell_length_a 9.083
_cell_length_b 4.047
_cell_length_c 8.670
_cell_angle_alpha 90.00
_cell_angle_beta 108.87
_cell_angle_gamma 90.00
_space_group_name_H-M_alt 'C 1 2/m 1'
_space_group_IT_number 12
_space_group_name_Hall '-C 2y'
loop_
_atom_site_label
_atom_site_type_symbol
_atom_site_fract_x
_atom_site_fract_y
_atom_site_fract_z
Cu1 Cu 0.000 0.000 0.000
Ag1 Ag 0.002 0.000 0.334
Ag2 Ag 0.165 0.500 0.221
Ag3 Ag 0.166 0.500 0.891
Pd1 Pd 0.166 0.500 0.555
```

Values from the calculation:
ΔE_f = 2 kJ per mole of atoms
Fermi-level density of states = 3.3 states/eV/f.u.

***

What did we get for energy? Answer: -76.643 -54.554 -16.071 -64.187 -72.731 -79.839 -70.617 -65.235 -93.872 -58.330 -82.206 -159.155 -152.980 -78.225 -65.756 -83.693 -32.711 -14.287 -25.867 -62.887 eV for the cell shown, in the order shown.
What did we get for size of the total moment? Answer: 0.000 0.000 0.000 0.000 0.000 0.000 0.000 0.000 0.000 0.000 0.000 0.000 0.000 0.000 0.000 0.000 0.000 0.000 0.000 0.000 μB/atom, in the order shown.